No. 1
Density functional theory data (GGA-PBE) for a geometry-optimized MgPbSe2O8 structure.

Lattice parameters (Å, degrees): 5.0464 5.0464 22.3414 90.00 90.00 120.00
Space group R-3 (No. 148, hexagonal axes)
Unique sites:
Mg 0.0000 0.0000 0.0000 x3
Pb 0.0000 0.0000 0.5000 x3
Se 0.0000 0.0000 0.2555 x6
O 0.0000 0.0000 0.1802 x6
O 0.0085 0.3224 0.7235 x18

Properties
The density of states at the Fermi level is 0.00 states/eV per cell. As for the energy relative to the elements, uncorrected: -1127 meV per atom. As for the total energy: -5.46 eV per atom.



No. 2
Density functional theory data (GGA-PBE) for a geometry-optimized Mg2TaPbO6 structure.

Lattice parameters (Å, degrees): 9.579 11.745 6.630 90.00 120.14 90.00
Space group C2/c (No. 15)
Unique sites:
Mg 0.123 0.077 0.151 x8
Ta 0.000 0.316 0.750 x4
Pb 0.000 0.390 0.250 x4
O 0.103 0.239 0.034 x8
O 0.116 0.050 0.442 x8
O 0.127 0.421 0.697 x8

Properties
As for the energy relative to the elements, uncorrected: -2115 meV per atom. As for the total energy: -6.96 eV per atom.



No. 3
Density functional theory data (GGA-PBE) for a geometry-optimized MgTaPb2O6 structure.

Lattice parameters (Å, degrees): 5.672 5.758 9.866 90.00 125.05 90.00
Space group P2_1/c (No. 14)
Unique sites:
Mg 0.000 0.000 0.000 x2
Ta 0.500 0.000 0.500 x2
Pb 0.244 0.034 0.750 x4
O 0.177 0.201 0.462 x4
O 0.260 0.716 0.459 x4
O 0.336 0.020 0.257 x4

Properties
The density of states at the Fermi level is 8.58 states/eV per cell. As for the energy relative to the elements, uncorrected: -1983 meV per atom. As for the total energy: -7.04 eV per atom.



No. 4
Density functional theory data (GGA-PBE) for a geometry-optimized MgTcPbO6 structure.

Lattice parameters (Å, degrees): 5.2444 5.2444 9.5137 90.00 90.00 120.00
Space group P-31c (No. 163)
Unique sites:
Mg 0.3333 0.6667 0.2500 x2
Tc 0.3333 0.6667 0.7500 x2
Pb 0.0000 0.0000 0.0000 x2
O 0.0212 0.3764 0.6373 x12

Properties
The density of states at the Fermi level is 4.81 states/eV per cell. As for the energy relative to the elements, uncorrected: -1440 meV per atom. As for the total energy: -6.49 eV per atom.



No. 5
Density functional theory data (GGA-PBE) for a geometry-optimized MgTc2PbO8 structure.

Lattice parameters (Å, degrees): 5.8000 5.8000 6.8276 90.00 90.00 120.00
Space group P-3m1 (No. 164)
Unique sites:
Mg 0.0000 0.0000 0.0000 x1
Tc 0.3333 0.6667 0.2632 x2
Pb 0.0000 0.0000 0.5000 x1
O 0.1608 0.3217 0.1940 x6
O 0.3333 0.6667 0.5207 x2

Properties
The density of states at the Fermi level is 7.51 states/eV per cell. As for the energy relative to the elements, uncorrected: -1524 meV per atom. As for the total energy: -7.00 eV per atom.



No. 6
Density functional theory data (GGA-PBE) for a geometry-optimized MgTcPb2O structure.

Lattice parameters (Å, degrees): 5.071 5.071 3.718 90.00 90.00 90.00
Space group P4/mmm (No. 123)
Unique sites:
Mg 0.000 0.000 0.000 x1
Tc 0.500 0.500 0.000 x1
Pb 0.000 0.500 0.500 x2
O 0.000 0.000 0.500 x1

Properties
The density of states at the Fermi level is 2.07 states/eV per cell. As for the energy relative to the elements, uncorrected: -145 meV per atom. As for the total energy: -5.01 eV per atom.



No. 7
Density functional theory data (GGA-PBE) for a geometry-optimized MgTcPb2O6 structure.

Lattice parameters (Å, degrees): 5.686 5.675 9.791 90.00 125.33 90.00
Space group P2_1/c (No. 14)
Unique sites:
Mg 0.000 0.000 0.000 x2
Tc 0.500 0.000 0.500 x2
Pb 0.256 0.021 0.750 x4
O 0.199 0.010 0.261 x4
O 0.269 0.715 0.033 x4
O 0.322 0.233 0.034 x4

Properties
The density of states at the Fermi level is 6.12 states/eV per cell. As for the energy relative to the elements, uncorrected: -1532 meV per atom. As for the total energy: -6.45 eV per atom.



No. 8
Density functional theory data (GGA-PBE) for a geometry-optimized MgTePbO6 structure.

Lattice parameters (Å, degrees): 5.2713 5.2713 9.2397 90.00 90.00 120.00
Space group P-31c (No. 163)
Unique sites:
Mg 0.3333 0.6667 0.2500 x2
Te 0.3333 0.6667 0.7500 x2
Pb 0.0000 0.0000 0.0000 x2
O 0.0170 0.3639 0.6336 x12

Properties
The density of states at the Fermi level is 9.00 states/eV per cell. As for the energy relative to the elements, uncorrected: -1331 meV per atom. As for the total energy: -5.58 eV per atom.



No. 9
Density functional theory data (GGA-PBE) for a geometry-optimized MgTePb2O8 structure.

Lattice parameters (Å, degrees): 4.896 6.598 4.908 90.00 90.66 90.00
Space group P2/m (No. 10)
Unique sites:
Mg 0.000 0.000 0.000 x1
Te 0.000 0.500 0.000 x1
Pb 0.500 0.244 0.500 x2
O 0.182 0.274 0.822 x4
O 0.287 0.500 0.293 x2
O 0.294 0.000 0.298 x2

Properties
The density of states at the Fermi level is 1.01 states/eV per cell. As for the energy relative to the elements, uncorrected: -1191 meV per atom. As for the total energy: -5.51 eV per atom.



No. 10
Density functional theory data (GGA-PBE) for a geometry-optimized MgTe2PbO8 structure.

Lattice parameters (Å, degrees): 5.7353 5.7353 7.0923 90.00 90.00 120.00
Space group P-3 (No. 147)
Unique sites:
Mg 0.0000 0.0000 0.0000 x1
Te 0.3333 0.6667 0.2671 x2
Pb 0.0000 0.0000 0.5000 x1
O 0.1145 0.3148 0.1916 x6
O 0.3333 0.6667 0.5250 x2

Properties
The density of states at the Fermi level is 0.00 states/eV per cell. As for the energy relative to the elements, uncorrected: -1175 meV per atom. As for the total energy: -5.45 eV per atom.